Record 1
Tb2Pr4DyTh: relaxed, GGA-PBE.

Properties
Crystal system   monoclinic
Theoretical density   7.8 Mg/m³
Size of the total moment   0.000 μB per formula unit
Electronic total energy   -4.9140 eV/atom
Energy of formation from the pure elements   0.14 eV/atom

Cell: 6.078 6.082 7.363 Å, 90.00 90.15 90.00°
Fractional coordinates of all 8 atoms:
Tb1 0.000 0.000 0.000
Tb2 0.500 0.500 0.500
Pr1 0.000 0.500 0.246
Pr2 0.000 0.500 0.754
Pr3 0.500 0.000 0.246
Pr4 0.500 0.000 0.754
Dy1 0.000 0.000 0.500
Th1 0.500 0.500 0.000

Record 2
Na4Hg5Bi: relaxed, GGA-PBE.

Properties
Crystal system   orthorhombic
Theoretical density   7.6 Mg/m³
Size of the total moment   0.000 μB per formula unit
Offset from the most stable computed form   0.0 meV per atom
Electronic total energy   -1.2938 eV/atom
Energy of formation from the pure elements   -0.23 eV/atom

Cell: 7.877 7.877 7.877 Å, 141.84 96.74 95.53°
Fractional coordinates of all 10 atoms:
Na1 0.194 0.194 0.000
Na2 0.322 0.000 0.322
Na3 0.678 0.000 0.678
Na4 0.806 0.806 0.000
Hg1 0.000 0.500 0.500
Hg2 0.061 0.329 0.732
Hg3 0.403 0.671 0.732
Hg4 0.597 0.329 0.268
Hg5 0.939 0.671 0.268
Bi1 0.500 0.500 0.000

Record 3
Tc2SnAu: relaxed, GGA-PBE.

Properties
Crystal system   tetragonal
Theoretical density   11.3 Mg/m³
Size of the total moment   2.383 μB per formula unit
Electronic total energy   -6.2524 eV/atom
Energy of formation from the pure elements   0.75 eV/atom

Cell: 5.937 5.937 5.937 Å, 101.75 101.75 126.34°
Fractional coordinates of all 8 atoms:
Tc1 0.122 0.625 0.997
Tc2 0.375 0.372 0.497
Tc3 0.628 0.125 0.003
Tc4 0.875 0.878 0.503
Sn1 0.000 0.000 0.000
Sn2 0.750 0.250 0.500
Au1 0.250 0.750 0.500
Au2 0.500 0.500 0.000